# DyYTh2Sc | the Alexandria database | PBE | optimized geometry
# Raw total energy ... -6.295 eV/atom
# Energy of formation ... 0.15 eV per atom
data_DyYTh2Sc
_cell_length_a 8.3931
_cell_length_b 3.4534
_cell_length_c 11.5506
_cell_angle_alpha 90.00
_cell_angle_beta 109.74
_cell_angle_gamma 90.00
_symmetry_space_group_name_H-M 'P 1 21/m 1'
_symmetry_Int_Tables_number 11
loop_
_symmetry_equiv_pos_as_xyz
'x,y,z'
'-x,-y,-z'
'-x,y+1/2,-z'
'x,-y+1/2,z'
loop_
_atom_site_label
_atom_site_fract_x
_atom_site_fract_y
_atom_site_fract_z
_atom_site_occupancy
Dy1 0.0513 0.2500 0.2714 1
Y1 0.2004 0.7500 0.0545 1
Th1 0.4145 0.7500 0.8539 1
Th2 0.4425 0.7500 0.3629 1
Sc1 0.1888 0.7500 0.5435 1

***

# Dy2YThSc | the Alexandria database | PBE | optimized geometry
# Raw total energy ... -5.834 eV/atom
# Energy of formation ... 0.05 eV per atom
data_Dy2YThSc
_cell_length_a 7.7907
_cell_length_b 4.9859
_cell_length_c 7.8456
_cell_angle_alpha 90.00
_cell_angle_beta 90.39
_cell_angle_gamma 90.00
_symmetry_space_group_name_H-M 'P 1 21/m 1'
_symmetry_Int_Tables_number 11
loop_
_symmetry_equiv_pos_as_xyz
'x,y,z'
'-x,-y,-z'
'-x,y+1/2,-z'
'x,-y+1/2,z'
loop_
_atom_site_label
_atom_site_fract_x
_atom_site_fract_y
_atom_site_fract_z
_atom_site_occupancy
Dy1 0.1538 0.2500 0.4490 1
Dy2 0.3421 0.2500 0.0527 1
Y1 0.2509 0.7500 0.7543 1
Th1 0.4452 0.7500 0.3518 1
Sc1 0.0501 0.7500 0.1474 1

***

# Dy2Y4ThSc | the Alexandria database | PBE | optimized geometry
# Raw total energy ... -6.052 eV/atom
# Energy of formation ... 0.05 eV per atom
data_Dy2Y4ThSc
_cell_length_a 4.9756
_cell_length_b 4.9993
_cell_length_c 10.0057
_cell_angle_alpha 90.00
_cell_angle_beta 90.00
_cell_angle_gamma 90.00
_symmetry_space_group_name_H-M 'P m m m'
_symmetry_Int_Tables_number 47
loop_
_symmetry_equiv_pos_as_xyz
'x,y,z'
'-x,-y,-z'
'-x,-y,z'
'x,y,-z'
'x,-y,-z'
'-x,y,z'
'-x,y,-z'
'x,-y,z'
loop_
_atom_site_label
_atom_site_fract_x
_atom_site_fract_y
_atom_site_fract_z
_atom_site_occupancy
Dy1 0.0000 0.0000 0.0000 1
Dy2 0.5000 0.5000 0.5000 1
Y1 0.0000 0.5000 0.2478 1
Y2 0.5000 0.0000 0.2474 1
Th1 0.0000 0.0000 0.5000 1
Sc1 0.5000 0.5000 0.0000 1

***

# Dy6Y3ThSc2 | the Alexandria database | PBE | optimized geometry
# Raw total energy ... -5.548 eV/atom
# Energy of formation ... 0.04 eV per atom
data_Dy6Y3ThSc2
_cell_length_a 6.0635
_cell_length_b 10.4983
_cell_length_c 11.6901
_cell_angle_alpha 90.00
_cell_angle_beta 99.94
_cell_angle_gamma 90.00
_symmetry_space_group_name_H-M 'C 1 2/m 1'
_symmetry_Int_Tables_number 12
loop_
_symmetry_equiv_pos_as_xyz
'x,y,z'
'-x,-y,-z'
'-x,y,-z'
'x,-y,z'
'x+1/2,y+1/2,z'
'-x+1/2,-y+1/2,-z'
'-x+1/2,y+1/2,-z'
'x+1/2,-y+1/2,z'
loop_
_atom_site_label
_atom_site_fract_x
_atom_site_fract_y
_atom_site_fract_z
_atom_site_occupancy
Dy1 0.2482 0.1664 0.2446 1
Dy2 0.2489 0.5000 0.2445 1
Y1 0.0000 0.1675 0.5000 1
Y2 0.0000 0.5000 0.5000 1
Th1 0.0000 0.0000 0.0000 1
Sc1 0.0000 0.3332 0.0000 1

***

How do the records compare in magnetic moment? In the order shown, they have 0.0; 0.0; 0.0; 0.0 μB/cell.